Arrangement one

VASP calculation (PBE) on crystalline KFe3Sb at its relaxed geometry.

total moment: 8.2 μB/f.u.

a = 4.6199 Å, b = 4.6199 Å, c = 4.6199 Å
α = 90.00°, β = 90.00°, γ = 90.00°
Closest atoms and distances in Å follow each position.
Space group Pm-3m (No. 221)
One atom of each set of equivalent atoms:
K 0.0000 0.0000 0.0000 [1 per cell]  6 Fe 2.31
Fe 0.0000 0.0000 0.5000 [3 per cell]  2 K 2.31
Sb 0.5000 0.5000 0.5000 [1 per cell]  12 Fe 3.27



Arrangement two

VASP calculation (PBE) on crystalline KFe3Sb at its relaxed geometry.

total moment: 8.0 μB/f.u.

a = 4.9713 Å, b = 4.9713 Å, c = 4.9713 Å
α = 90.00°, β = 90.00°, γ = 90.00°
Closest atoms and distances in Å follow each position.
Space group Pm-3m (No. 221)
One atom of each set of equivalent atoms:
K 0.0000 0.0000 0.0000 [1 per cell]  12 Fe 3.52
Fe 0.0000 0.5000 0.5000 [3 per cell]  2 Sb 2.49
Sb 0.5000 0.5000 0.5000 [1 per cell]  6 Fe 2.49



On energetic grounds, arrangement two is preferred over the next structure by 1114 meV per atom.



Arrangement one

VASP calculation (PBE) on crystalline K2ScFe at its relaxed geometry.

total moment: 1.5 μB/f.u.

a = 3.3701 Å, b = 6.0851 Å, c = 6.2110 Å
α = 90.00°, β = 90.00°, γ = 90.00°
Closest atoms and distances in Å follow each position.
Space group Pmmm (No. 47)
One atom of each set of equivalent atoms:
K 0.0000 0.2405 0.0000 [2 per cell]  2 K 2.93-3.16
Sc 0.5000 0.5000 0.5000 [1 per cell]  2 Fe 3.04, 2 Sc 3.37
Fe 0.5000 0.0000 0.5000 [1 per cell]  2 Sc 3.04, 2 Fe 3.37



Arrangement two

VASP calculation (PBE) on crystalline K2ScFe at its relaxed geometry.

total moment: 1.5 μB/f.u.

a = 6.2062 Å, b = 12.9919 Å, c = 3.4044 Å
α = 90.00°, β = 120.13°, γ = 90.00°
Closest atoms and distances in Å follow each position.
Space group C2/m (No. 12)
One atom of each set of equivalent atoms:
K 0.2500 0.2500 0.0000 [4 per cell]  6 K 3.10-3.40
Sc 0.0000 0.0000 0.5000 [2 per cell]  4 Fe 3.10-3.26, 2 Sc 3.40
Fe 0.0000 0.5000 0.5000 [2 per cell]  4 Sc 3.10-3.26, 2 Fe 3.40



Arrangement three

VASP calculation (PBE) on crystalline K2ScFe at its relaxed geometry.

total moment: 1.3 μB/f.u.

a = 3.4103 Å, b = 6.5108 Å, c = 13.0413 Å
α = 90.00°, β = 90.00°, γ = 90.00°
Closest atoms and distances in Å follow each position.
Space group Imm2 (No. 44)
One atom of each set of equivalent atoms:
K 0.0000 0.0000 0.0000 [2 per cell]  2 K 3.41, 4 Fe 3.71
K 0.0000 0.5000 0.1923 [2 per cell]  2 K 3.41, 2 Fe 3.48
Sc 0.0000 0.5000 0.8243 [2 per cell]  2 Fe 2.46
Fe 0.0000 0.0000 0.4599 [2 per cell]  2 Sc 2.46



Arrangement four

VASP calculation (PBE) on crystalline K2ScFe at its relaxed geometry.

total moment: 3.6 μB/f.u.

a = 3.2535 Å, b = 3.2535 Å, c = 12.1273 Å
α = 90.00°, β = 90.00°, γ = 90.00°
Closest atoms and distances in Å follow each position.
Space group P4/mmm (No. 123)
One atom of each set of equivalent atoms:
K 0.0000 0.0000 0.2173 [2 per cell]  4 K 3.25, 4 Fe 3.50
Sc 0.5000 0.5000 0.5000 [1 per cell]  4 Sc 3.25
Fe 0.5000 0.5000 0.0000 [1 per cell]  4 Fe 3.25, 8 K 3.50



On energetic grounds, arrangement three is preferred over the next structure by 271 meV per atom.



Arrangement one

VASP calculation (PBE) on crystalline K2ScFe at its relaxed geometry.

total moment: 1.5 μB/f.u.

a = 4.7480 Å, b = 4.7480 Å, c = 6.0462 Å
α = 90.00°, β = 90.00°, γ = 90.00°
Closest atoms and distances in Å follow each position.
Space group P4/mmm (No. 123)
One atom of each set of equivalent atoms:
K 0.0000 0.0000 0.2379 [2 per cell]  2 K 2.88-3.17
Sc 0.5000 0.5000 0.5000 [1 per cell]  2 Fe 3.02
Fe 0.5000 0.5000 0.0000 [1 per cell]  2 Sc 3.02



Arrangement two

VASP calculation (PBE) on crystalline K2ScFe at its relaxed geometry.

total moment: 1.5 μB/f.u.

a = 3.6135 Å, b = 3.6171 Å, c = 10.7034 Å
α = 90.00°, β = 90.29°, γ = 90.00°
Closest atoms and distances in Å follow each position.
Space group Pm (No. 6)
One atom of each set of equivalent atoms:
K 0.0000 0.0000 0.0000 [1 per cell]  4 K 3.61-3.62, 1 Fe 3.88, 4 Sc 4.01-4.02
K 0.4850 0.5000 0.3845 [1 per cell]  1 Sc 3.49, 4 K 3.61-3.62, 4 Fe 3.72-3.73
Sc 0.4913 0.5000 0.7104 [1 per cell]  4 Fe 2.67
Fe 0.9898 0.0000 0.6378 [1 per cell]  4 Sc 2.67



On energetic grounds, arrangement two is preferred over the next structure by 654 meV per atom.